[1]
Density functional theory data (PBE) for a relaxed structure of LiDy2TlSe4.

For the total moment, the calculation gives 0.00 μB per cell. The formation energy (no corrections) comes out at -1.510 eV per atom.

It has space group Cmcm (No. 63), with a = 4.175 Å, b = 13.966 Å, c = 14.665 Å, α = 90.00°, β = 90.00° and γ = 90.00°. Symmetry generates all atoms from Li at (0.000, 0.170, 0.250), Dy at (0.000, 0.366, 0.562), Tl at (0.000, 0.105, 0.750), Se at (0.000, 0.000, 0.000), Se at (0.000, 0.265, 0.107) and Se at (0.000, 0.428, 0.750).


[2]
Density functional theory data (PBE) for a relaxed structure of LiDyTm2Se4.

For the total moment, the calculation gives 0.00 μB per cell. The formation energy (no corrections) comes out at -1.713 eV per atom. The calculation puts the density of states at the Fermi level at 2.52 states/eV/f.u.

It has space group P2/m (No. 10), with a = 6.961 Å, b = 4.003 Å, c = 6.968 Å, α = 90.00°, β = 109.23° and γ = 90.00°. Symmetry generates all atoms from Li at (0.000, 0.000, 0.000), Dy at (0.000, 0.500, 0.500), Tm at (0.500, 0.000, 0.500), Tm at (0.500, 0.500, 0.000), Se at (0.247, 0.500, 0.244) and Se at (0.249, 0.000, 0.757).


[3]
Density functional theory data (PBE) for a relaxed structure of Li3Dy2TmSe6.

For the total moment, the calculation gives 0.00 μB per cell. The formation energy (no corrections) comes out at -1.697 eV per atom. The calculation puts the density of states at the Fermi level at 0.00 states/eV/f.u.

It has space group C2/m (No. 12), with a = 7.020 Å, b = 12.160 Å, c = 6.902 Å, α = 90.00°, β = 109.83° and γ = 90.00°. Symmetry generates all atoms from Li at (0.000, 0.000, 0.000), Li at (0.000, 0.334, 0.000), Dy at (0.000, 0.167, 0.500), Tm at (0.000, 0.500, 0.500), Se at (0.246, 0.500, 0.248) and Se at (0.249, 0.335, 0.752).


[4]
Density functional theory data (PBE) for a relaxed structure of LiDy3Tm3Se8.

For the total moment, the calculation gives 0.00 μB per cell. The formation energy (no corrections) comes out at -1.770 eV per atom. The calculation puts the density of states at the Fermi level at 4.30 states/eV/f.u.

It has space group R-3m (No. 166, hexagonal axes), with a = 8.0390 Å, b = 8.0390 Å, c = 19.7394 Å, α = 90.00°, β = 90.00° and γ = 120.00°. Symmetry generates all atoms from Li at (0.0000, 0.0000, 0.0000), Dy at (0.0000, 0.5000, 0.5000), Tm at (0.0000, 0.5000, 0.0000), Se at (0.0000, 0.0000, 0.2515) and Se at (0.0011, 0.5005, 0.7481).


[5]
Density functional theory data (PBE) for a relaxed structure of LiDy2TmSe5.

For the total moment, the calculation gives 0.00 μB per cell. The formation energy (no corrections) comes out at -1.687 eV per atom.

It has space group Cmc2_1 (No. 36), with a = 4.038 Å, b = 16.907 Å, c = 12.326 Å, α = 90.00°, β = 90.00° and γ = 90.00°. Symmetry generates all atoms from Li at (0.000, 0.013, 0.000), Dy at (0.000, 0.374, 0.812), Dy at (0.000, 0.393, 0.204), Tm at (0.000, 0.304, 0.521), Se at (0.000, 0.000, 0.304), Se at (0.000, 0.138, 0.519), Se at (0.000, 0.193, 0.861), Se at (0.000, 0.216, 0.181) and Se at (0.000, 0.453, 0.594).


[6]
Density functional theory data (PBE) for a relaxed structure of LiDy2TmSe4.

For the total moment, the calculation gives 0.00 μB per cell. The formation energy (no corrections) comes out at -1.727 eV per atom. The calculation puts the density of states at the Fermi level at 2.64 states/eV/f.u.

It has space group P2/m (No. 10), with a = 6.973 Å, b = 4.019 Å, c = 6.987 Å, α = 90.00°, β = 109.25° and γ = 90.00°. Symmetry generates all atoms from Li at (0.000, 0.000, 0.000), Dy at (0.000, 0.500, 0.500), Dy at (0.500, 0.000, 0.500), Tm at (0.500, 0.500, 0.000), Se at (0.244, 0.500, 0.240) and Se at (0.248, 0.000, 0.759).


Number 1: total energy -4.938 eV/atom, density 6.62 g cm⁻³. Number 2: total energy -5.388 eV/atom, density 7.46 g cm⁻³. Number 3: total energy -5.057 eV/atom, density 5.92 g cm⁻³. Number 4: total energy -5.571 eV/atom, density 7.36 g cm⁻³. Number 5: total energy -5.355 eV/atom, density 7.07 g cm⁻³. Number 6: total energy -5.418 eV/atom, density 7.34 g cm⁻³.